No. 1
The following is a DFT calculation (PBE) of a relaxed K2RbAgF4 crystal.

a = 3.850 Å, b = 13.118 Å, c = 13.311 Å
α = 90.00°, β = 90.00°, γ = 90.00°
Space group Cmcm (No. 63)
One atom of each set of equivalent atoms:
K1 0.000 0.128 0.040 (multiplicity 8)
Rb1 0.000 0.372 0.250 (multiplicity 4)
Ag1 0.000 0.364 0.750 (multiplicity 4)
F1 0.000 0.036 0.250 (multiplicity 4)
F2 0.000 0.241 0.623 (multiplicity 8)
F3 0.000 0.500 0.000 (multiplicity 4)



No. 2
The following is a DFT calculation (PBE) of a relaxed KRbAg2F8 crystal.

a = 6.286 Å, b = 6.286 Å, c = 10.504 Å
α = 90.00°, β = 90.00°, γ = 90.00°
Space group I-4 (No. 82)
One atom of each set of equivalent atoms:
K1 0.000 0.000 0.000 (multiplicity 2)
Rb1 0.000 0.500 0.750 (multiplicity 2)
Ag1 0.000 0.000 0.500 (multiplicity 2)
Ag2 0.000 0.500 0.250 (multiplicity 2)
F1 0.069 0.804 0.241 (multiplicity 8)
F2 0.108 0.706 0.507 (multiplicity 8)



No. 3
The following is a DFT calculation (PBE) of a relaxed KRb4Ag3F12 crystal.

a = 9.044 Å, b = 9.044 Å, c = 9.044 Å
α = 90.00°, β = 90.00°, γ = 90.00°
Space group Im-3m (No. 229)
One atom of each set of equivalent atoms:
K1 0.000 0.000 0.000 (multiplicity 2)
Rb1 0.250 0.250 0.250 (multiplicity 8)
Ag1 0.000 0.000 0.500 (multiplicity 6)
F1 0.000 0.000 0.273 (multiplicity 12)
F2 0.000 0.250 0.500 (multiplicity 12)



No. 4
The following is a DFT calculation (PBE) of a relaxed KRb3Ag2F9 crystal.

a = 6.3824 Å, b = 6.3824 Å, c = 7.9505 Å
α = 90.00°, β = 90.00°, γ = 120.00°
Space group P-3m1 (No. 164)
One atom of each set of equivalent atoms:
K1 0.0000 0.0000 0.0000 (multiplicity 1)
Rb1 0.0000 0.0000 0.5000 (multiplicity 1)
Rb2 0.3333 0.6667 0.1596 (multiplicity 2)
Ag1 0.3333 0.6667 0.6485 (multiplicity 2)
F1 0.0000 0.5000 0.5000 (multiplicity 3)
F2 0.1759 0.3518 0.8035 (multiplicity 6)



No. 5
The following is a DFT calculation (PBE) of a relaxed KRb2AgF5 crystal.

a = 4.265 Å, b = 6.448 Å, c = 13.442 Å
α = 90.00°, β = 90.00°, γ = 90.00°
Space group Immm (No. 71)
One atom of each set of equivalent atoms:
K1 0.000 0.000 0.000 (multiplicity 2)
Rb1 0.000 0.500 0.211 (multiplicity 4)
Ag1 0.000 0.000 0.500 (multiplicity 2)
F1 0.000 0.249 0.378 (multiplicity 8)
F2 0.000 0.500 0.000 (multiplicity 2)



No. 6
The following is a DFT calculation (PBE) of a relaxed KRb2AgF6 crystal.

Properties
The energy above the most stable polymorph in this dataset comes out at 0.0000 eV/atom.

a = 6.474 Å, b = 6.588 Å, c = 11.228 Å
α = 90.00°, β = 124.98°, γ = 90.00°
Space group P2_1/c (No. 14)
One atom of each set of equivalent atoms:
K1 0.000 0.000 0.000 (multiplicity 2)
Rb1 0.259 0.042 0.750 (multiplicity 4)
Ag1 0.500 0.000 0.500 (multiplicity 2)
F1 0.201 0.025 0.276 (multiplicity 4)
F2 0.272 0.685 0.036 (multiplicity 4)
F3 0.362 0.236 0.043 (multiplicity 4)



No. 7
The following is a DFT calculation (PBE) of a relaxed KRb2AgF6 crystal.

Properties
The energy above the most stable polymorph in this dataset comes out at 0.0144 eV/atom.

a = 9.251 Å, b = 9.251 Å, c = 9.251 Å
α = 90.00°, β = 90.00°, γ = 90.00°
Space group Fm-3m (No. 225)
One atom of each set of equivalent atoms:
K1 0.000 0.000 0.000 (multiplicity 4)
Rb1 0.250 0.250 0.250 (multiplicity 8)
Ag1 0.000 0.000 0.500 (multiplicity 4)
F1 0.000 0.000 0.272 (multiplicity 24)



No. 8
The following is a DFT calculation (PBE) of a relaxed KRbAgF3 crystal.

a = 6.535 Å, b = 3.795 Å, c = 9.767 Å
α = 90.00°, β = 102.78°, γ = 90.00°
Space group P2_1/m (No. 11)
One atom of each set of equivalent atoms:
K1 0.234 0.250 0.447 (multiplicity 2)
Rb1 0.350 0.750 0.811 (multiplicity 2)
Ag1 0.125 0.750 0.140 (multiplicity 2)
F1 0.046 0.250 0.664 (multiplicity 2)
F2 0.235 0.250 0.010 (multiplicity 2)
F3 0.436 0.750 0.330 (multiplicity 2)



No. 9
The following is a DFT calculation (PBE) of a relaxed KRb2AgF4 crystal.

a = 3.876 Å, b = 13.236 Å, c = 13.825 Å
α = 90.00°, β = 90.00°, γ = 90.00°
Space group Cmcm (No. 63)
One atom of each set of equivalent atoms:
K1 0.000 0.128 0.250 (multiplicity 4)
Rb1 0.000 0.368 0.043 (multiplicity 8)
Ag1 0.000 0.137 0.750 (multiplicity 4)
F1 0.000 0.000 0.000 (multiplicity 4)
F2 0.000 0.268 0.635 (multiplicity 8)
F3 0.000 0.464 0.250 (multiplicity 4)



No. 10
The following is a DFT calculation (PBE) of a relaxed K3Rb4AgF8 crystal.

a = 13.571 Å, b = 7.763 Å, c = 7.780 Å
α = 90.00°, β = 124.90°, γ = 90.00°
Space group C2/m (No. 12)
One atom of each set of equivalent atoms:
K1 0.000 0.000 0.000 (multiplicity 2)
K2 0.250 0.250 0.500 (multiplicity 4)
Rb1 0.000 0.000 0.500 (multiplicity 2)
Rb2 0.000 0.500 0.500 (multiplicity 2)
Rb3 0.250 0.250 0.000 (multiplicity 4)
Ag1 0.000 0.500 0.000 (multiplicity 2)
F1 0.004 0.259 0.236 (multiplicity 8)
F2 0.246 0.000 0.255 (multiplicity 4)
F3 0.250 0.000 0.740 (multiplicity 4)



No. 11
The following is a DFT calculation (PBE) of a relaxed K2RbAgF6 crystal.

a = 6.351 Å, b = 6.740 Å, c = 10.975 Å
α = 90.00°, β = 124.33°, γ = 90.00°
Space group P2_1/c (No. 14)
One atom of each set of equivalent atoms:
K1 0.222 0.053 0.238 (multiplicity 4)
Rb1 0.000 0.000 0.500 (multiplicity 2)
Ag1 0.500 0.000 0.000 (multiplicity 2)
F1 0.183 0.167 0.957 (multiplicity 4)
F2 0.255 0.744 0.913 (multiplicity 4)
F3 0.409 0.077 0.787 (multiplicity 4)



No. 12
The following is a DFT calculation (PBE) of a relaxed KReAgF6 crystal.

a = 6.3496 Å, b = 6.3496 Å, c = 8.6433 Å
α = 90.00°, β = 90.00°, γ = 120.00°
Space group P-31c (No. 163)
One atom of each set of equivalent atoms:
K1 0.3333 0.6667 0.2500 (multiplicity 2)
Re1 0.3333 0.6667 0.7500 (multiplicity 2)
Ag1 0.0000 0.0000 0.0000 (multiplicity 2)
F1 0.0775 0.3997 0.6231 (multiplicity 12)



No. 13
The following is a DFT calculation (PBE) of a relaxed K2AgRhF6 crystal.

a = 8.750 Å, b = 8.750 Å, c = 8.750 Å
α = 90.00°, β = 90.00°, γ = 90.00°
Space group Fm-3m (No. 225)
One atom of each set of equivalent atoms:
K1 0.250 0.250 0.250 (multiplicity 8)
Ag1 0.000 0.000 0.000 (multiplicity 4)
Rh1 0.000 0.000 0.500 (multiplicity 4)
F1 0.000 0.000 0.269 (multiplicity 24)



No. 14
The following is a DFT calculation (PBE) of a relaxed KAg2RhF8 crystal.

a = 4.793 Å, b = 5.388 Å, c = 7.400 Å
α = 91.80°, β = 90.83°, γ = 95.63°
Space group P-1 (No. 2)
One atom of each set of equivalent atoms:
K1 0.000 0.000 0.000 (multiplicity 1)
Ag1 0.469 0.494 0.754 (multiplicity 2)
Rh1 0.000 0.000 0.500 (multiplicity 1)
F1 0.126 0.783 0.308 (multiplicity 2)
F2 0.141 0.794 0.686 (multiplicity 2)
F3 0.344 0.240 0.504 (multiplicity 2)
F4 0.479 0.264 0.002 (multiplicity 2)



No. 15
The following is a DFT calculation (PBE) of a relaxed K2AgRh3F12 crystal.

a = 7.4288 Å, b = 7.4288 Å, c = 18.1624 Å
α = 90.00°, β = 90.00°, γ = 120.00°
Space group R-3m (No. 166, hexagonal axes)
One atom of each set of equivalent atoms:
K1 0.0000 0.0000 0.1266 (multiplicity 6)
Ag1 0.0000 0.0000 0.5000 (multiplicity 3)
Rh1 0.0000 0.5000 0.0000 (multiplicity 9)
F1 0.0303 0.5152 0.8906 (multiplicity 18)
F2 0.0555 0.5278 0.3162 (multiplicity 18)



No. 16
The following is a DFT calculation (PBE) of a relaxed KAgRhF6 crystal.

a = 5.9865 Å, b = 5.9865 Å, c = 5.2227 Å
α = 90.00°, β = 90.00°, γ = 120.00°
Space group P312 (No. 149)
One atom of each set of equivalent atoms:
K1 0.0000 0.0000 0.0000 (multiplicity 1)
Ag1 0.3333 0.6667 0.5000 (multiplicity 1)
Rh1 0.6667 0.3333 0.5000 (multiplicity 1)
F1 0.3957 0.0555 0.7064 (multiplicity 6)



No. 17
The following is a DFT calculation (PBE) of a relaxed KAgRuF2 crystal.

a = 4.598 Å, b = 4.598 Å, c = 5.682 Å
α = 90.00°, β = 90.00°, γ = 90.00°
Space group P4/mmm (No. 123)
One atom of each set of equivalent atoms:
K1 0.000 0.000 0.000 (multiplicity 1)
Ag1 0.000 0.000 0.500 (multiplicity 1)
Ru1 0.500 0.500 0.000 (multiplicity 1)
F1 0.000 0.500 0.500 (multiplicity 2)



No. 18
The following is a DFT calculation (PBE) of a relaxed KAg2RuF8 crystal.

a = 4.763 Å, b = 7.578 Å, c = 5.512 Å
α = 90.00°, β = 96.51°, γ = 90.00°
Space group P2/m (No. 10)
One atom of each set of equivalent atoms:
K1 0.000 0.000 0.000 (multiplicity 1)
Ag1 0.500 0.240 0.500 (multiplicity 2)
Ru1 0.000 0.500 0.000 (multiplicity 1)
F1 0.141 0.318 0.802 (multiplicity 4)
F2 0.337 0.500 0.239 (multiplicity 2)
F3 0.491 0.000 0.259 (multiplicity 2)



No. 19
The following is a DFT calculation (PBE) of a relaxed K2AgRuF6 crystal.

a = 8.808 Å, b = 8.808 Å, c = 8.808 Å
α = 90.00°, β = 90.00°, γ = 90.00°
Space group Fm-3m (No. 225)
One atom of each set of equivalent atoms:
K1 0.250 0.250 0.250 (multiplicity 8)
Ag1 0.000 0.000 0.000 (multiplicity 4)
Ru1 0.000 0.000 0.500 (multiplicity 4)
F1 0.000 0.000 0.270 (multiplicity 24)



Number 1: formation energy from raw total energies -51.74 kcal/mol of atoms, calculated density 3433 kg/m³. Number 2: formation energy from raw total energies -39.45 kcal/mol of atoms, calculated density 3939 kg/m³. Number 3: formation energy from raw total energies -46.12 kcal/mol of atoms, calculated density 4187 kg/m³. Number 4: formation energy from raw total energies -46.85 kcal/mol of atoms, calculated density 4039 kg/m³. Number 5: formation energy from raw total energies -50.18 kcal/mol of atoms, calculated density 3709 kg/m³. Number 6: formation energy from raw total energies -49.29 kcal/mol of atoms, calculated density 3656 kg/m³. Number 7: formation energy from raw total energies -48.95 kcal/mol of atoms, calculated density 3623 kg/m³. Number 8: formation energy from raw total energies -48.91 kcal/mol of atoms, calculated density 4069 kg/m³. Number 9: formation energy from raw total energies -50.89 kcal/mol of atoms, calculated density 3689 kg/m³. Number 10: formation energy from raw total energies -56.79 kcal/mol of atoms, calculated density 3552 kg/m³. Number 11: formation energy from raw total energies -49.04 kcal/mol of atoms, calculated density 3300 kg/m³. Number 12: formation energy from raw total energies -46.68 kcal/mol of atoms, calculated density 4921 kg/m³. Number 13: formation energy from raw total energies -46.06 kcal/mol of atoms, calculated density 3995 kg/m³. Number 14: formation energy from raw total energies -36.38 kcal/mol of atoms, calculated density 4453 kg/m³. Number 15: formation energy from raw total energies -41.13 kcal/mol of atoms, calculated density 4148 kg/m³. Number 16: formation energy from raw total energies -41.09 kcal/mol of atoms, calculated density 3727 kg/m³. Number 17: formation energy from raw total energies 4.51 kcal/mol of atoms, calculated density 3954 kg/m³. Number 18: formation energy from raw total energies -38.74 kcal/mol of atoms, calculated density 4267 kg/m³. Number 19: formation energy from raw total energies -45.54 kcal/mol of atoms, calculated density 3899 kg/m³.